1.
Compound: NaSrNi3
Source: Alexandria via LeMat-Bulk
Functional: PBE
Structure: optimized geometry

The density of states at the Fermi level is 4.82 states/eV/f.u. The calculated density is 3.8 Mg/m³. The polymorph energy (0 for the lowest one) comes out at 2.35 eV/f.u.

Unit cell a=5.020 b=5.020 c=5.020 alpha=90.00 beta=90.00 gamma=90.00
Fractional positions:
Sr 0.000 0.000 0.000
Na 0.500 0.500 0.500
Ni 0.000 0.500 0.000
Ni 0.000 0.000 0.500
Ni 0.500 0.000 0.000

---

2.
Compound: BeZnCdPd2
Source: Alexandria via LeMat-Bulk
Functional: PBE
Structure: optimized geometry

The total energy comes out at -2.3444 eV/atom. The density of states at the Fermi level is 2.41 states/eV/f.u. The calculated density is 6.2 Mg/m³.

Unit cell a=4.988 b=4.332 c=4.988 alpha=90.00 beta=90.00 gamma=90.00
Fractional positions:
Be 0.000 0.500 0.000
Zn 0.500 0.500 0.500
Pd 0.000 0.000 0.500
Pd 0.500 0.000 0.000
Cd 0.000 0.000 0.000

---

3.
Compound: Y2TmCu4
Source: Alexandria via LeMat-Bulk
Functional: PBE
Structure: optimized geometry

The total energy comes out at -4.8486 eV/atom. The density of states at the Fermi level is 6.72 states/eV/f.u. The calculated density is 6.7 Mg/m³.

Unit cell a=5.068 b=5.068 c=6.800 alpha=111.88 beta=111.88 gamma=90.00
Fractional positions:
Y 0.712 0.712 0.424
Y 0.288 0.288 0.576
Tm 0.000 0.000 0.000
Cu 0.387 0.887 0.774
Cu 0.887 0.387 0.774
Cu 0.613 0.113 0.226
Cu 0.113 0.613 0.226

---

4.
Compound: Sr2RePt
Source: Alexandria via LeMat-Bulk
Functional: PBE
Structure: optimized geometry

The density of states at the Fermi level is 4.84 states/eV/f.u. The calculated density is 8.3 Mg/m³. The polymorph energy (0 for the lowest one) comes out at 0.83 eV/f.u.

Unit cell a=3.210 b=3.848 c=9.033 alpha=90.00 beta=90.00 gamma=90.00
Fractional positions:
Pt 0.000 0.000 0.575
Re 0.500 0.500 0.669
Sr 0.000 0.000 0.924
Sr 0.500 0.500 0.331

---

5.
Compound: CsSr2TlBr8
Source: Alexandria via LeMat-Bulk
Functional: PBE
Structure: optimized geometry

The value obtained for the formation energy from raw total energies is -33.56 kcal/mol of atoms. The calculated density is 3.9 Mg/m³.

Unit cell a=7.137 b=7.028 c=9.667 alpha=89.92 beta=89.94 gamma=89.30
Fractional positions:
Cs 0.000 0.000 0.500
Sr 0.500 0.500 0.755
Sr 0.500 0.500 0.245
Tl 0.000 0.000 0.000
Br 0.142 0.757 0.201
Br 0.661 0.753 0.000
Br 0.856 0.242 0.200
Br 0.858 0.243 0.799
Br 0.339 0.247 0.000
Br 0.144 0.758 0.800
Br 0.593 0.737 0.500
Br 0.407 0.263 0.500

---

6.
Compound: Ca5Au3
Source: Alexandria via LeMat-Bulk
Functional: PBE
Structure: optimized geometry

The density of states at the Fermi level is 5.58 states/eV/f.u. The calculated density is 5.8 Mg/m³. The polymorph energy (0 for the lowest one) comes out at 0.00 eV/f.u.

Unit cell a=9.157 b=9.157 c=9.157 alpha=129.02 beta=129.02 gamma=74.98
Fractional positions:
Au 0.750 0.750 0.000
Au 0.250 0.250 0.000
Au 0.370 0.870 0.239
Au 0.630 0.130 0.761
Au 0.130 0.370 0.500
Au 0.870 0.630 0.500
Ca 0.000 0.000 0.000
Ca 0.500 0.500 0.000
Ca 0.024 0.524 0.837
Ca 0.687 0.187 0.163
Ca 0.187 0.024 0.500
Ca 0.524 0.687 0.500
Ca 0.476 0.313 0.500
Ca 0.813 0.976 0.500
Ca 0.313 0.813 0.837
Ca 0.976 0.476 0.163